Computed, not measured: a geometry-optimized Fe3CuAs structure at the PBE level of DFT.

Unit cell a=4.374 b=4.374 c=4.374 alpha=90.00 beta=90.00 gamma=90.00
Element x y z (fractional)
As 0.500 0.500 0.500
Fe 0.000 0.500 0.000
Fe 0.000 0.000 0.500
Fe 0.500 0.000 0.000
Cu 0.000 0.000 0.000

## Properties
The distance to the lowest polymorph of the same formula is 0.849 eV per formula unit. The total energy comes out at -5.778 eV/atom. The calculation puts the magnetization at 9.235 μB per formula unit. The symmetry is Pm-3m (221).